Record 1
# Hg2TeBr, optimized geometry, DFT GGA-PBE
# DFT total energy ... -1.52 eV/atom
# Polymorph energy (0 for the lowest one) ... 92 meV/atom
# Calculated volume ... 33.64 Å³/atom
# Magnetic moment ... 0.000 μB per formula unit
data_Hg2TeBr
_chemical_formula_sum 'Hg2 Te1 Br1'
_cell_length_a 4.586
_cell_length_b 5.227
_cell_length_c 5.614
_cell_angle_alpha 90.00
_cell_angle_beta 90.38
_cell_angle_gamma 90.00
_symmetry_space_group_name_H-M 'P 1 m 1'
_symmetry_Int_Tables_number 6
_symmetry_space_group_name_Hall 'P -2y'
loop_
_atom_site_label
_atom_site_type_symbol
_atom_site_fract_x
_atom_site_fract_y
_atom_site_fract_z
Hg1 Hg 0.000 0.000 0.000
Hg2 Hg 0.120 0.500 0.500
Te1 Te 0.235 0.500 0.000
Br1 Br 0.692 0.000 0.496



Record 2
# HoTm3Sb4, optimized geometry, DFT GGA-PBE
# DFT total energy ... -5.39 eV/atom
# Calculated volume ... 28.92 Å³/atom
# Magnetic moment ... 0.000 μB per formula unit
data_HoTm3Sb4
_chemical_formula_sum 'Ho1 Tm3 Sb4'
_cell_length_a 6.139
_cell_length_b 6.139
_cell_length_c 6.139
_cell_angle_alpha 90.00
_cell_angle_beta 90.00
_cell_angle_gamma 90.00
_symmetry_space_group_name_H-M 'P m -3 m'
_symmetry_Int_Tables_number 221
_symmetry_space_group_name_Hall '-P 4 2 3'
loop_
_atom_site_label
_atom_site_type_symbol
_atom_site_fract_x
_atom_site_fract_y
_atom_site_fract_z
Ho1 Ho 0.000 0.000 0.000
Tm1 Tm 0.000 0.500 0.500
Sb1 Sb 0.000 0.000 0.500
Sb2 Sb 0.500 0.500 0.500